# 1
First-principles (GGA-PBE) data for a relaxed structure of Ba3Sb, as listed in Alexandria via LeMat-Bulk.

Cell lengths 7.0870, 7.0870, 7.0870 Å; angles 135.50, 135.50, 64.75 degrees
Last column: nearest neighbours and their distance in Å.
Fractional positions:
Ba (0.2500, 0.7500, 0.5000)  8 Ba 3.80-4.02, 4 Sb 4.02
Ba (0.5000, 0.5000, 0.0000)  4 Sb 3.80, 8 Ba 4.02
Ba (0.7500, 0.2500, 0.5000)  8 Ba 3.80-4.02, 4 Sb 4.02
Sb (0.0000, 0.0000, 0.0000)  12 Ba 3.80-4.02

Values from the calculation:
Raw formation energy in eV per atom: -0.432
ΔE to the lowest computed polymorph in meV per atom: 173
Crystal system: tetragonal



# 2
First-principles (GGA-PBE) data for a relaxed structure of K3Sb2Pt, as listed in Alexandria via LeMat-Bulk.

Cell lengths 7.0785, 7.0785, 12.2045 Å; angles 63.64, 63.64, 95.78 degrees
Last column: nearest neighbours and their distance in Å.
Fractional positions:
K (0.3067, 0.6933, 0.2500)  1 Pt 3.22
K (0.6933, 0.3067, 0.7500)  1 Pt 3.22
K (0.9853, 0.2049, 0.0661)  2 Pt 3.17-3.41
K (0.7951, 0.0147, 0.4339)  2 Pt 3.17-3.41
K (0.0147, 0.7951, 0.9339)  2 Pt 3.17-3.41
K (0.2049, 0.9853, 0.5661)  2 Pt 3.17-3.41
Sb (0.7138, 0.5560, 0.3742)  1 Pt 2.58, 1 Sb 2.88
Sb (0.4440, 0.2862, 0.1258)  1 Pt 2.58, 1 Sb 2.88
Sb (0.5560, 0.7138, 0.8742)  1 Pt 2.58, 1 Sb 2.88
Sb (0.2862, 0.4440, 0.6258)  1 Pt 2.58, 1 Sb 2.88
Pt (0.6135, 0.3865, 0.2500)  2 Sb 2.58
Pt (0.3865, 0.6135, 0.7500)  2 Sb 2.58

Values from the calculation:
Raw formation energy in eV per atom: -0.394
Crystal system: monoclinic



# 3
First-principles (GGA-PBE) data for a relaxed structure of BaNpH2O6, as listed in Alexandria via LeMat-Bulk.

Cell lengths 5.6412, 5.7185, 6.0647 Å; angles 83.68, 110.75, 126.75 degrees
Last column: nearest neighbours and their distance in Å.
Fractional positions:
Ba (0.9875, 0.4893, 0.4695)  6 O 2.72-2.82
Np (0.9854, 0.0003, 0.9754)  3 O 1.87-1.95
H (0.4995, 0.6648, 0.1546)  1 O 1.01
H (0.6209, 0.3963, 0.8197)  1 O 1.00
O (0.6173, 0.9200, 0.7365)  1 Np 1.87
O (0.3329, 0.0586, 0.2288)  1 Np 1.87
O (0.7388, 0.7796, 0.2140)  1 H 1.01
O (0.1203, 0.4103, 0.1074)  1 H 1.65
O (0.8450, 0.5614, 0.8349)  1 H 1.00
O (0.2180, 0.1971, 0.7617)  1 H 1.74

Values from the calculation:
Electronic total energy in eV per atom: -7.101
Crystal system: triclinic



# 4
First-principles (GGA-PBE) data for a relaxed structure of CdTcPb2, as listed in Alexandria via LeMat-Bulk.

Cell lengths 3.2525, 3.2525, 9.4039 Å; angles 90.00, 90.00, 97.18 degrees
Last column: nearest neighbours and their distance in Å.
Fractional positions:
Cd (0.5000, 0.5000, 0.7500)  4 Cd 3.25, 4 Pb 3.51
Pb (0.0000, 0.0000, 0.0448)  4 Tc 2.89-3.11
Pb (0.0000, 0.0000, 0.4552)  4 Tc 2.89-3.11
Tc (0.5000, 0.5000, 0.2500)  8 Pb 2.89-3.11

Values from the calculation:
Energy of formation in eV/f.u.: 1.8
Crystal system: orthorhombic



# 5
First-principles (GGA-PBE) data for a relaxed structure of Sm2ScAlO, as listed in Alexandria via LeMat-Bulk.

Cell lengths 4.3612, 4.9104, 4.9104 Å; angles 90.00, 90.00, 90.00 degrees
Last column: nearest neighbours and their distance in Å.
Fractional positions:
Sm (0.0000, 0.0000, 0.5000)  2 O 2.46
Sm (0.0000, 0.5000, 0.0000)  2 O 2.46
Sc (0.5000, 0.0000, 0.0000)  2 O 2.18
Al (0.5000, 0.5000, 0.5000)  8 Sm 3.28, 4 Sc 3.47
O (0.0000, 0.0000, 0.0000)  2 Sc 2.18

Values from the calculation:
Raw formation energy in eV per atom: -1.362
Crystal system: tetragonal



# 6
First-principles (GGA-PBE) data for a relaxed structure of HoTh2C2, as listed in Alexandria via LeMat-Bulk.

Cell lengths 3.7982, 3.7982, 7.9589 Å; angles 103.80, 103.80, 90.00 degrees
Last column: nearest neighbours and their distance in Å.
Fractional positions:
Ho (0.0000, 0.0000, 0.0000)  2 C 2.51
Th (0.6655, 0.6655, 0.3310)  5 C 2.51-2.69
Th (0.3345, 0.3345, 0.6690)  5 C 2.51-2.69
C (0.8327, 0.8327, 0.6653)  5 Th 2.51-2.69, 1 Ho 2.51
C (0.1673, 0.1673, 0.3347)  5 Th 2.51-2.69, 1 Ho 2.51

Values from the calculation:
Energy of formation in eV/f.u.: -1.3
ΔE to the lowest computed polymorph in meV per atom: 5
Crystal system: tetragonal



# 7
First-principles (GGA-PBE) data for a relaxed structure of Ac2DySn4Rh3, as listed in Alexandria via LeMat-Bulk.

Cell lengths 4.5337, 4.5337, 12.1615 Å; angles 90.00, 90.00, 90.00 degrees
Last column: nearest neighbours and their distance in Å.
Fractional positions:
Ac (0.5000, 0.0000, 0.2304)  4 Rh 3.47, 8 Sn 3.47-3.60
Ac (0.0000, 0.5000, 0.7696)  4 Rh 3.47, 8 Sn 3.47-3.60
Dy (0.5000, 0.5000, 0.5000)  4 Sn 2.99, 4 Rh 3.21
Sn (0.5000, 0.5000, 0.0000)  4 Rh 2.71
Sn (0.0000, 0.0000, 0.0000)  4 Rh 2.71
Sn (0.5000, 0.0000, 0.6597)  1 Rh 2.66
Sn (0.0000, 0.5000, 0.3403)  1 Rh 2.66
Rh (0.0000, 0.0000, 0.5000)  4 Sn 2.99, 4 Dy 3.21
Rh (0.5000, 0.0000, 0.8785)  5 Sn 2.66-2.71
Rh (0.0000, 0.5000, 0.1215)  5 Sn 2.66-2.71

Values from the calculation:
Energy of formation in eV/f.u.: -7.0
Crystal system: tetragonal



# 8
First-principles (GGA-PBE) data for a relaxed structure of Ag2RhPbCl8, as listed in Alexandria via LeMat-Bulk.

Cell lengths 6.3105, 6.1787, 8.0560 Å; angles 85.17, 86.80, 90.67 degrees
Last column: nearest neighbours and their distance in Å.
Fractional positions:
Ag (0.4595, 0.4476, 0.7536)  3 Cl 2.48-2.70
Ag (0.5405, 0.5524, 0.2464)  3 Cl 2.48-2.70
Rh (0.0000, 0.0000, 0.0000)  6 Cl 2.37
Pb (0.0000, 0.0000, 0.5000)  6 Cl 2.81-2.91
Cl (0.1426, 0.7700, 0.2151)  1 Rh 2.37
Cl (0.7037, 0.7615, 0.9935)  1 Rh 2.37, 1 Ag 2.48
Cl (0.8178, 0.1940, 0.2042)  1 Rh 2.37
Cl (0.8574, 0.2300, 0.7849)  1 Rh 2.37
Cl (0.2963, 0.2385, 0.0065)  1 Rh 2.37, 1 Ag 2.48
Cl (0.1822, 0.8060, 0.7958)  1 Rh 2.37
Cl (0.6532, 0.7067, 0.5330)  2 Ag 2.54-2.70, 1 Pb 2.81
Cl (0.3468, 0.2933, 0.4670)  2 Ag 2.54-2.70, 1 Pb 2.81

Values from the calculation:
Raw formation energy in eV per atom: -0.619
Crystal system: triclinic



# 9
First-principles (GGA-PBE) data for a relaxed structure of ZnGa2F, as listed in Alexandria via LeMat-Bulk.

Cell lengths 4.5364, 4.5364, 4.5364 Å; angles 60.00, 60.00, 60.00 degrees
Last column: nearest neighbours and their distance in Å.
Fractional positions:
Zn (0.5000, 0.5000, 0.5000)  8 Ga 2.78
Ga (0.2500, 0.2500, 0.2500)  4 F 2.78, 4 Zn 2.78
Ga (0.7500, 0.7500, 0.7500)  4 Zn 2.78, 4 F 2.78
F (0.0000, 0.0000, 0.0000)  8 Ga 2.78

Values from the calculation:
Raw formation energy in eV per atom: -0.491
ΔE to the lowest computed polymorph in meV per atom: 31
Crystal system: cubic



# 10
First-principles (GGA-PBE) data for a relaxed structure of TlV2Os, as listed in Alexandria via LeMat-Bulk.

Cell lengths 4.4917, 4.4917, 4.4917 Å; angles 60.00, 60.00, 60.00 degrees
Last column: nearest neighbours and their distance in Å.
Fractional positions:
Tl (0.5000, 0.5000, 0.5000)  8 V 2.75
Os (0.0000, 0.0000, 0.0000)  8 V 2.75
V (0.2500, 0.2500, 0.2500)  4 Tl 2.75, 4 Os 2.75
V (0.7500, 0.7500, 0.7500)  4 Tl 2.75, 4 Os 2.75

Values from the calculation:
Energy of formation in eV/f.u.: 1.9
ΔE to the lowest computed polymorph in meV per atom: 0
Crystal system: cubic



# 11
First-principles (GGA-PBE) data for a relaxed structure of Y3Al4Hg2, as listed in Alexandria via LeMat-Bulk.

Cell lengths 4.6096, 5.8812, 8.7558 Å; angles 111.79, 90.00, 113.07 degrees
Last column: nearest neighbours and their distance in Å.
Fractional positions:
Y (0.6664, 0.3329, 0.6677)  8 Al 3.14-3.33, 4 Hg 3.21-3.24
Y (0.0000, 0.0000, 0.0000)  8 Al 3.13-3.31, 4 Hg 3.22
Y (0.3336, 0.6671, 0.3323)  8 Al 3.14-3.33, 4 Hg 3.21-3.24
Al (0.7357, 0.4714, 0.0648)  2 Al 2.64, 1 Hg 2.70
Al (0.2643, 0.5286, 0.9352)  2 Al 2.64, 1 Hg 2.70
Al (0.9569, 0.9139, 0.6199)  1 Al 2.62, 2 Hg 2.69
Al (0.0431, 0.0861, 0.3801)  1 Al 2.62, 2 Hg 2.69
Hg (0.6133, 0.2265, 0.2789)  3 Al 2.69-2.70
Hg (0.3867, 0.7735, 0.7211)  3 Al 2.69-2.70

Values from the calculation:
Energy of formation in eV/f.u.: -4.3
Crystal system: monoclinic



# 12
First-principles (GGA-PBE) data for a relaxed structure of LaY2MnN4, as listed in Alexandria via LeMat-Bulk.

Cell lengths 3.4417, 6.0851, 11.7125 Å; angles 90.00, 90.00, 106.43 degrees
Last column: nearest neighbours and their distance in Å.
Fractional positions:
La (0.1027, 0.2054, 0.7500)  6 N 2.71
La (0.8973, 0.7946, 0.2500)  6 N 2.71
Y (0.3698, 0.7397, 0.5450)  6 N 2.34-2.54
Y (0.6302, 0.2603, 0.0450)  6 N 2.34-2.54
Y (0.6302, 0.2603, 0.4550)  6 N 2.34-2.54
Y (0.3698, 0.7397, 0.9550)  6 N 2.34-2.54
Mn (0.8352, 0.6704, 0.7500)  4 N 1.87-2.00
Mn (0.1648, 0.3296, 0.2500)  4 N 1.87-2.00
N (0.2672, 0.5344, 0.1267)  1 Mn 1.87
N (0.7328, 0.4656, 0.6267)  1 Mn 1.87
N (0.7328, 0.4656, 0.8733)  1 Mn 1.87
N (0.2672, 0.5344, 0.3733)  1 Mn 1.87
N (0.0000, 0.0000, 0.5000)  4 Y 2.36
N (0.0000, 0.0000, 0.0000)  4 Y 2.36
N (0.4230, 0.8461, 0.7500)  2 Mn 2.00
N (0.5770, 0.1539, 0.2500)  2 Mn 2.00

Values from the calculation:
Raw formation energy in eV per atom: -1.203
Crystal system: orthorhombic



# 13
First-principles (GGA-PBE) data for a relaxed structure of CsRb3Br6, as listed in Alexandria via LeMat-Bulk.

Cell lengths 9.2935, 9.2935, 9.2934 Å; angles 60.00, 60.00, 90.00 degrees
Last column: nearest neighbours and their distance in Å.
Fractional positions:
Cs (0.0000, 0.0000, 0.0000)  6 Br 3.35
Br (0.2547, 0.2547, 0.4907)  1 Rb 3.22, 1 Cs 3.35
Br (0.7453, 0.7453, 0.5093)  1 Rb 3.22, 1 Cs 3.35
Br (0.2547, 0.2547, 0.0000)  1 Rb 3.22, 1 Cs 3.35
Br (0.7453, 0.7453, 0.0000)  1 Rb 3.22, 1 Cs 3.35
Br (0.7453, 0.2547, 0.0000)  1 Rb 3.22, 1 Cs 3.35
Br (0.2547, 0.7453, 0.0000)  1 Rb 3.22, 1 Cs 3.35
Rb (0.5000, 0.5000, 0.0000)  6 Br 3.22
Rb (0.7500, 0.2500, 0.5000)  12 Br 4.65
Rb (0.2500, 0.7500, 0.5000)  12 Br 4.65

Values from the calculation:
Raw formation energy in eV per atom: -1.039
Crystal system: cubic



# 14
First-principles (GGA-PBE) data for a relaxed structure of Ca2ScPt, as listed in Alexandria via LeMat-Bulk.

Cell lengths 3.5053, 3.5100, 9.7136 Å; angles 68.92, 90.00, 90.00 degrees
Last column: nearest neighbours and their distance in Å.
Fractional positions:
Sc (0.5000, 0.8285, 0.6718)  4 Pt 2.76
Ca (0.0000, 0.0323, 0.9674)  4 Ca 3.51, 4 Sc 3.65, 1 Pt 3.88
Ca (0.5000, 0.1784, 0.3218)  4 Pt 3.16-3.17, 1 Sc 3.17, 4 Ca 3.51
Pt (0.0000, 0.4609, 0.5390)  4 Sc 2.76

Values from the calculation:
Energy of formation in eV/f.u.: -2.2
ΔE to the lowest computed polymorph in meV per atom: 0
Crystal system: monoclinic



# 15
First-principles (GGA-PBE) data for a relaxed structure of CsRb3Ti, as listed in Alexandria via LeMat-Bulk.

Cell lengths 7.9449, 7.9449, 7.9449 Å; angles 90.00, 90.00, 90.00 degrees
Last column: nearest neighbours and their distance in Å.
Fractional positions:
Cs (0.0000, 0.0000, 0.0000)  6 Rb 3.97
Rb (0.0000, 0.5000, 0.0000)  2 Cs 3.97
Rb (0.0000, 0.0000, 0.5000)  2 Cs 3.97
Rb (0.5000, 0.0000, 0.0000)  2 Cs 3.97
Ti (0.5000, 0.5000, 0.5000)  12 Rb 5.62

Values from the calculation:
Energy of formation in eV/f.u.: 5.8
ΔE to the lowest computed polymorph in meV per atom: 411
Crystal system: cubic



# 16
First-principles (GGA-PBE) data for a relaxed structure of Zn2Rh2W, as listed in Alexandria via LeMat-Bulk.

Cell lengths 7.1276, 7.1276, 2.8321 Å; angles 90.00, 90.00, 90.00 degrees
Last column: nearest neighbours and their distance in Å.
Fractional positions:
Zn (0.3803, 0.8803, 0.0000)  1 Zn 2.41, 6 Rh 2.46-2.60
Zn (0.8803, 0.6197, 0.0000)  1 Zn 2.41, 6 Rh 2.46-2.60
Zn (0.6197, 0.1197, 0.0000)  1 Zn 2.41, 6 Rh 2.46-2.60
Zn (0.1197, 0.3803, 0.0000)  1 Zn 2.41, 6 Rh 2.46-2.60
Rh (0.1805, 0.6805, 0.5000)  6 Zn 2.46-2.60
Rh (0.6805, 0.8195, 0.5000)  6 Zn 2.46-2.60
Rh (0.8195, 0.3195, 0.5000)  6 Zn 2.46-2.60
Rh (0.3195, 0.1805, 0.5000)  6 Zn 2.46-2.60
W (0.0000, 0.0000, 0.0000)  2 W 2.83, 4 Zn 2.84, 8 Rh 2.97
W (0.5000, 0.5000, 0.0000)  2 W 2.83, 4 Zn 2.84, 8 Rh 2.97

Values from the calculation:
Energy of formation in eV/f.u.: -0.1
ΔE to the lowest computed polymorph in meV per atom: 234
Crystal system: tetragonal



# 17
First-principles (GGA-PBE) data for a relaxed structure of NdLu3, as listed in Alexandria via LeMat-Bulk.

Cell lengths 3.5917, 6.1834, 6.6324 Å; angles 117.78, 105.71, 90.00 degrees
Last column: nearest neighbours and their distance in Å.
Fractional positions:
Lu (0.2472, 0.5829, 0.4944)  9 Lu 3.45-3.59, 3 Nd 3.47-3.49
Lu (0.5000, 0.4999, 0.0000)  8 Lu 3.45-3.59, 4 Nd 3.55-3.60
Lu (0.7528, 0.0885, 0.5056)  9 Lu 3.45-3.59, 3 Nd 3.47-3.49
Nd (0.0000, 0.9954, 0.0000)  10 Lu 3.47-3.60, 2 Nd 3.59

Values from the calculation:
Energy of formation in eV/f.u.: 0.0
ΔE to the lowest computed polymorph in meV per atom: 2
Crystal system: orthorhombic



# 18
First-principles (GGA-PBE) data for a relaxed structure of TlIn2SbRh, as listed in Alexandria via LeMat-Bulk.

Cell lengths 5.1856, 5.1856, 5.2051 Å; angles 90.00, 90.00, 90.00 degrees
Last column: nearest neighbours and their distance in Å.
Fractional positions:
Sb (0.0000, 0.0000, 0.5000)  2 Rh 2.60
Tl (0.5000, 0.5000, 0.5000)  4 Sb 3.67, 8 In 3.67
Rh (0.0000, 0.0000, 0.0000)  4 In 2.59, 2 Sb 2.60
In (0.0000, 0.5000, 0.0000)  2 Rh 2.59
In (0.5000, 0.0000, 0.0000)  2 Rh 2.59

Values from the calculation:
Raw formation energy in eV per atom: -0.058
Crystal system: tetragonal



# 19
First-principles (GGA-PBE) data for a relaxed structure of Ce2As2H, as listed in Alexandria via LeMat-Bulk.

Cell lengths 4.2112, 6.2208, 8.4561 Å; angles 90.00, 104.42, 90.00 degrees
Last column: nearest neighbours and their distance in Å.
Fractional positions:
Ce (0.4213, 0.4351, 0.8425)  1 H 2.32
Ce (0.8344, 0.9659, 0.6688)  2 H 2.35
Ce (0.1656, 0.4659, 0.3312)  2 H 2.35
Ce (0.5787, 0.9351, 0.1575)  1 H 2.32
As (0.9928, 0.7047, 0.9857)  6 Ce 2.91-3.20, 2 H 3.05, 2 As 3.12
As (0.7935, 0.4507, 0.5870)  1 H 2.97, 6 Ce 2.97-3.27
As (0.2065, 0.9507, 0.4130)  1 H 2.97, 6 Ce 2.97-3.27
As (0.0072, 0.2047, 0.0143)  6 Ce 2.91-3.20, 2 H 3.05, 2 As 3.12
H (0.3811, 0.0780, 0.7621)  3 Ce 2.32-2.35
H (0.6189, 0.5780, 0.2379)  3 Ce 2.32-2.35

Values from the calculation:
Electronic total energy in eV per atom: -5.957
Crystal system: orthorhombic



# 20
First-principles (GGA-PBE) data for a relaxed structure of MnZn2Au, as listed in Alexandria via LeMat-Bulk.

Cell lengths 2.8744, 2.8744, 8.8757 Å; angles 80.52, 80.52, 59.73 degrees
Last column: nearest neighbours and their distance in Å.
Fractional positions:
Mn (0.4989, 0.4989, 0.5004)  6 Zn 2.65-2.66, 6 Mn 2.86-2.87
Zn (0.0873, 0.0873, 0.7391)  3 Mn 2.65-2.66, 3 Au 2.81, 6 Zn 2.86-2.87
Zn (0.2468, 0.2468, 0.2612)  3 Mn 2.66, 3 Au 2.82, 6 Zn 2.86-2.87
Au (0.6670, 0.6670, 0.9993)  6 Zn 2.81-2.82, 6 Au 2.86-2.87

Values from the calculation:
Energy of formation in eV/f.u.: 0.1
Crystal system: monoclinic



| no. | theoretical density (Mg/m³) |
| --- | --- |
| 1 | 5.14 |
| 2 | 4.05 |
| 3 | 5.40 |
| 4 | 10.51 |
| 5 | 6.14 |
| 6 | 10.03 |
| 7 | 9.30 |
| 8 | 4.30 |
| 9 | 5.63 |
| 10 | 12.87 |
| 11 | 6.45 |
| 12 | 6.04 |
| 13 | 2.54 |
| 14 | 4.77 |
| 15 | 1.45 |
| 16 | 12.01 |
| 17 | 8.96 |
| 18 | 7.81 |
| 19 | 6.67 |
| 20 | 10.22 |